Entry 1:
The following is a GGA-PBE calculation of a relaxed structure of Ac2La7Tb, from Alexandria.

abc: 12.559 17.649 3.643
angles: 90.00 90.00 90.00
Space group Cmmm (No. 65)
Unique sites:
Ac 0.000 0.172 0.000
La 0.000 0.334 0.500
La 0.000 0.500 0.000
La 0.240 0.378 0.000
Tb 0.000 0.000 0.500

Properties
* energy of formation: 0.375 eV/atom
* energy above the lowest structure with this stoichiometry: 5.674 kcal/mol of atoms

=====

Entry 2:
The following is a GGA-PBE calculation of a relaxed structure of TmRu2W, from Alexandria.

abc: 6.434 6.434 6.434
angles: 90.00 90.00 90.00
Space group Fm-3m (No. 225)
Unique sites:
Tm 0.000 0.000 0.000
Ru 0.250 0.250 0.250
W 0.000 0.000 0.500

Properties
* energy of formation: -0.080 eV/atom
* energy above the lowest structure with this stoichiometry: 1.633 kcal/mol of atoms

=====

Entry 3:
The following is a GGA-PBE calculation of a relaxed structure of SrHfMoN2, from Alexandria.

abc: 4.330 4.330 5.284
angles: 90.00 90.00 90.00
Space group P4/mmm (No. 123)
Unique sites:
Sr 0.000 0.000 0.000
Hf 0.500 0.500 0.500
Mo 0.000 0.000 0.500
N 0.000 0.500 0.000

Properties
* E_form (uncorrected): 2417 meV per atom

=====

Entry 4:
The following is a GGA-PBE calculation of a relaxed structure of TlIr2Cl, from Alexandria.

abc: 3.033 3.033 7.537
angles: 90.00 90.00 90.00
Space group P4/mmm (No. 123)
Unique sites:
Tl 0.000 0.000 0.000
Ir 0.500 0.500 0.257
Cl 0.000 0.000 0.500

Properties
* energy above the lowest structure with this stoichiometry: 15.947 kcal/mol of atoms
* E_form (uncorrected): 997 meV per atom

=====

Entry 5:
The following is a GGA-PBE calculation of a relaxed structure of Zn2GaPt, from Alexandria.

abc: 9.415 4.302 7.821
angles: 90.00 125.61 90.00
Space group Cm (No. 8)
Unique sites:
Zn 0.000 0.000 0.000
Zn 0.000 0.000 0.497
Zn 0.146 0.500 0.859
Zn 0.354 0.000 0.139
Ga 0.188 0.500 0.552
Ga 0.314 0.000 0.448
Pt 0.177 0.500 0.213
Pt 0.324 0.000 0.786

Properties
* energy of formation: -0.369 eV/atom

=====

Entry 6:
The following is a GGA-PBE calculation of a relaxed structure of BaH8Ir2, from Alexandria.

abc: 5.299 7.565 6.066
angles: 90.00 90.00 90.00
Space group Amm2 (No. 38)
Unique sites:
Ba 0.000 0.000 0.000
H 0.281 0.000 0.624
H 0.308 0.165 0.276
H 0.500 0.149 0.971
Ir 0.500 0.181 0.700

Properties
* raw total energy: -48.73 eV/f.u.

=====

Entry 7:
The following is a GGA-PBE calculation of a relaxed structure of K5Hg3, from Alexandria.

abc: 9.146 9.146 17.041
angles: 90.00 90.00 90.00
Space group I4/mcm (No. 140)
Unique sites:
K 0.000 0.000 0.000
K 0.172 0.328 0.145
Hg 0.000 0.000 0.250
Hg 0.117 0.383 0.500

Properties
* energy of formation: -0.199 eV/atom
* energy above the lowest structure with this stoichiometry: 0.000 kcal/mol of atoms

=====

Entry 8:
The following is a GGA-PBE calculation of a relaxed structure of VMo2WBr, from Alexandria.

abc: 4.620 4.620 4.630
angles: 90.00 90.00 90.00
Space group P4/mmm (No. 123)
Unique sites:
V 0.000 0.000 0.000
Mo 0.000 0.500 0.000
W 0.000 0.000 0.500
Br 0.500 0.500 0.500

Properties
* E_form (uncorrected): 1808 meV per atom

=====

Entry 9:
The following is a GGA-PBE calculation of a relaxed structure of Li2La2I7, from Alexandria.

abc: 9.660 14.275 8.026
angles: 90.00 92.70 90.00
Space group C2/m (No. 12)
Unique sites:
Li 0.000 0.150 0.000
La 0.179 0.000 0.400
I 0.000 0.500 0.500
I 0.128 0.000 0.793
I 0.202 0.196 0.235

Properties
* E_form (uncorrected): -1252 meV per atom

=====

Entry 10:
The following is a GGA-PBE calculation of a relaxed structure of AlIrPb2Se, from Alexandria.

abc: 5.586 5.586 4.668
angles: 90.00 90.00 90.00
Space group P4/mmm (No. 123)
Unique sites:
Al 0.000 0.000 0.000
Ir 0.500 0.500 0.000
Pb 0.000 0.500 0.500
Se 0.000 0.000 0.500

Properties
* E_form (uncorrected): 1033 meV per atom

=====

Entry 11:
The following is a GGA-PBE calculation of a relaxed structure of TbHfPb2, from Alexandria.

abc: 4.840 4.840 4.413
angles: 90.00 90.00 90.00
Space group P4/mmm (No. 123)
Unique sites:
Tb 0.000 0.000 0.000
Hf 0.500 0.500 0.000
Pb 0.000 0.500 0.500

Properties
* energy of formation: -0.109 eV/atom
* energy above the lowest structure with this stoichiometry: 0.846 kcal/mol of atoms

=====

Entry 12:
The following is a GGA-PBE calculation of a relaxed structure of Ce3SiTe2, from Alexandria.

abc: 7.693 13.192 7.568
angles: 90.00 109.57 90.00
Space group C2/c (No. 15)
Unique sites:
Ce 0.222 0.075 0.494
Ce 0.250 0.250 0.000
Si 0.000 0.090 0.750
Te 0.000 0.259 0.250
Te 0.000 0.418 0.750

Properties
* energy above the lowest structure with this stoichiometry: 0.206 kcal/mol of atoms
* E_form (uncorrected): -1124 meV per atom

=====

- Number 6 is which compound?
  BaH8Ir2

=====

- Number 5 is which compound?
  Zn2GaPt